No. 1
Compound: Pm8AgSb2
Source: Alexandria
Functional: PBE
Structure: relaxed

The value obtained for the total energy is -4.86 eV per atom.

Cell and atoms, written as CIF:
```
data_Pm8AgSb2
_space_group_name_H-M_alt 'P 1'
_space_group_IT_number 1
_space_group_name_Hall 'P 1'
_cell_length_a 4.949
_cell_length_b 7.278
_cell_length_c 10.037
_cell_angle_alpha 100.52
_cell_angle_beta 104.27
_cell_angle_gamma 90.00
loop_
_atom_site_label
_atom_site_type_symbol
_atom_site_fract_x
_atom_site_fract_y
_atom_site_fract_z
_atom_site_occupancy
Pm1 Pm 0.214 0.341 0.428 1
Pm2 Pm 0.342 0.983 0.683 1
Sb1 Sb 0.818 0.237 0.636 1
Pm3 Pm 0.015 0.766 0.030 1
Pm4 Pm 0.658 0.017 0.317 1
Pm5 Pm 0.406 0.508 0.812 1
Pm6 Pm 0.985 0.234 0.970 1
Pm7 Pm 0.786 0.659 0.572 1
Ag1 Ag 0.500 0.000 0.000 1
Pm8 Pm 0.594 0.492 0.188 1
Sb2 Sb 0.182 0.763 0.364 1
```


No. 2
Compound: LiReSb2
Source: Alexandria
Functional: PBE
Structure: relaxed

The energy above the most stable polymorph in this dataset comes out at 147.5 meV per atom.

Cell and atoms, written as CIF:
```
data_LiReSb2
_space_group_name_H-M_alt 'P 1'
_space_group_IT_number 1
_space_group_name_Hall 'P 1'
_cell_length_a 5.215
_cell_length_b 5.215
_cell_length_c 4.558
_cell_angle_alpha 89.94
_cell_angle_beta 89.94
_cell_angle_gamma 37.53
loop_
_atom_site_label
_atom_site_type_symbol
_atom_site_fract_x
_atom_site_fract_y
_atom_site_fract_z
_atom_site_occupancy
Sb1 Sb 0.725 0.725 0.625 1
Re1 Re 0.303 0.303 0.125 1
Sb2 Sb 0.018 0.018 0.124 1
Li1 Li 0.454 0.454 0.625 1
```


No. 3
Compound: Pr3Nd2N4
Source: Alexandria
Functional: PBE
Structure: relaxed

The value obtained for the total energy is -7.54 eV per atom.

Cell and atoms, written as CIF:
```
data_Pr3Nd2N4
_space_group_name_H-M_alt 'P 1'
_space_group_IT_number 1
_space_group_name_Hall 'P 1'
_cell_length_a 3.673
_cell_length_b 3.673
_cell_length_c 15.405
_cell_angle_alpha 90.06
_cell_angle_beta 89.94
_cell_angle_gamma 119.99
loop_
_atom_site_label
_atom_site_type_symbol
_atom_site_fract_x
_atom_site_fract_y
_atom_site_fract_z
_atom_site_occupancy
Nd1 Nd 0.667 0.333 0.811 1
Pr1 Pr 0.000 0.000 0.000 1
N1 N 0.001 0.999 0.700 1
N2 N 0.999 0.001 0.300 1
Pr2 Pr 0.334 0.666 0.621 1
Nd2 Nd 0.333 0.667 0.189 1
N3 N 0.334 0.666 0.899 1
N4 N 0.666 0.334 0.101 1
Pr3 Pr 0.666 0.334 0.379 1
```


> What is the formula in the second record?

LiReSb2